DFT (GGA-PBE) results for an optimized crystal structure of NbVAu.

Cell lengths 4.5091, 4.5091, 18.1239 Å; angles 90.00, 90.00, 120.00 degrees
Space group R-3m (No. 166, hexagonal axes)
Symmetry-distinct sites (fractional):
Nb  0.0000  0.0000  0.2034 (multiplicity 6)
V  0.0000  0.0000  0.0697 (multiplicity 6)
Au  0.0000  0.0000  0.3681 (multiplicity 6)

Results
Energy relative to the elements   279 meV per atom
Size of the total moment   0.0000 μB per atom
Polymorph energy (0 for the lowest one)   323 meV per atom